The following is a PBE calculation of an optimized crystal structure of Hf3TeH2, from Alexandria.

Properties
* total energy: -6.93 eV/atom
* calculated density: 11.321 Mg/m³
* Fermi-level density of states: 5.5 states/eV/cell

Cell lengths 3.5479, 5.6249, 9.7955 Å; angles 93.52, 90.00, 90.00 degrees
Element x y z (fractional)
Hf 0.2500 0.0065 0.8619
Hf 0.7500 0.5702 0.8934
Hf 0.2500 0.2434 0.4143
Hf 0.7500 0.9935 0.1381
Hf 0.2500 0.4298 0.1066
Hf 0.7500 0.7566 0.5857
Te 0.2500 0.7380 0.3488
Te 0.7500 0.2620 0.6512
H 0.2500 0.3803 0.9025
H 0.7500 0.2224 0.3161
H 0.2500 0.7776 0.6839
H 0.7500 0.6197 0.0975